Run A
! GGA-PBE HfIn3Fe, relaxed; values from VASP
! - Size of the total moment: 3.43 Bohr magnetons per cell
! - Density of states at the Fermi level: 8.5 states/eV/cell
&SYSTEM
  ibrav = 0, nat = 5, ntyp = 3
/
ATOMIC_SPECIES
In 114.82 In.upf
Fe 55.84 Fe.upf
Hf 178.49 Hf.upf
ATOMIC_POSITIONS angstrom
In 0.000 0.000 2.762
In 0.000 2.762 0.000
Fe 2.762 2.762 2.762
In 2.762 0.000 0.000
Hf 0.000 0.000 0.000
CELL_PARAMETERS angstrom
5.524 0.000 0.000
0.000 5.524 0.000
0.000 0.000 5.524



Run B
! GGA-PBE HfIn3Fe, relaxed; values from VASP
! - Size of the total moment: 0.00 Bohr magnetons per cell
! - Density of states at the Fermi level: 7.2 states/eV/cell
&SYSTEM
  ibrav = 0, nat = 5, ntyp = 3
/
ATOMIC_SPECIES
In 114.82 In.upf
Hf 178.49 Hf.upf
Fe 55.84 Fe.upf
ATOMIC_POSITIONS angstrom
In -2.123 -0.129 1.188
In 0.027 2.416 0.312
Hf -0.901 2.001 3.603
In 1.194 -0.285 2.104
Fe 0.000 0.000 0.000
CELL_PARAMETERS angstrom
-4.246 -0.258 2.375
2.389 -0.570 4.208
0.055 4.832 0.624



Question: of the structures shown, which is the least stable? Reply: run A.